[1]
Below is a relaxed ZrBe2W crystal, with properties calculated at the GGA-PBE level.

```
data_ZrBe2W
_chemical_formula_sum 'Zr3 Be6 W3'
_space_group_name_H-M_alt 'R -3 m'
_space_group_IT_number 166
_space_group_name_Hall '-R 3 2"'
_cell_length_a 2.8059
_cell_length_b 2.8059
_cell_length_c 26.2604
_cell_angle_alpha 90.00
_cell_angle_beta 90.00
_cell_angle_gamma 120.00
loop_
_atom_site_label
_atom_site_type_symbol
_atom_site_fract_x
_atom_site_fract_y
_atom_site_fract_z
_atom_site_occupancy
Zr1 Zr 0.0000 0.0000 0.0000 1
Be1 Be 0.0000 0.0000 0.2427 1
W1 W 0.0000 0.0000 0.5000 1
```

Values from the calculation:
E above lowest polymorph: 497 meV/atom
calculated density: 8.15 g/cm3
formation energy from the elements: 0.445 eV/atom
calculated volume: 179 Å³/cell
magnetization: 0.0000 μB per atom

[2]
Below is a relaxed ZrBe17W crystal, with properties calculated at the GGA-PBE level.

```
data_ZrBe17W
_chemical_formula_sum 'Zr3 Be51 W3'
_space_group_name_H-M_alt 'R 3 m'
_space_group_IT_number 160
_space_group_name_Hall 'R 3 -2"'
_cell_length_a 7.3923
_cell_length_b 7.3923
_cell_length_c 10.7661
_cell_angle_alpha 90.00
_cell_angle_beta 90.00
_cell_angle_gamma 120.00
loop_
_atom_site_label
_atom_site_type_symbol
_atom_site_fract_x
_atom_site_fract_y
_atom_site_fract_z
_atom_site_occupancy
Zr1 Zr 0.0000 0.0000 0.0000 1
Be1 Be 0.0000 0.0000 0.2452 1
Be2 Be 0.0000 0.0000 0.4422 1
Be3 Be 0.0005 0.5002 0.8404 1
Be4 Be 0.0038 0.2957 0.3403 1
Be5 Be 0.0082 0.5041 0.4957 1
Be6 Be 0.1674 0.3347 0.5169 1
W1 W 0.0000 0.0000 0.6808 1
```

Values from the calculation:
calculated density: 4.19 g/cm3
formation energy from the elements: -0.168 eV/atom
calculated volume: 510 Å³/cell
magnetization: 0.0000 μB per atom

[3]
Below is a relaxed ZrBe2W crystal, with properties calculated at the GGA-PBE level.

```
data_ZrBe2W
_chemical_formula_sum 'Zr1 Be2 W1'
_space_group_name_H-M_alt 'P m m m'
_space_group_IT_number 47
_cell_length_a 2.784
_cell_length_b 3.494
_cell_length_c 5.733
_cell_angle_alpha 90.00
_cell_angle_beta 90.00
_cell_angle_gamma 90.00
loop_
_space_group_symop_operation_xyz
'x,y,z'
'-x,-y,-z'
'-x,-y,z'
'x,y,-z'
'x,-y,-z'
'-x,y,z'
'-x,y,-z'
'x,-y,z'
loop_
_atom_site_label
_atom_site_type_symbol
_atom_site_fract_x
_atom_site_fract_y
_atom_site_fract_z
_atom_site_occupancy
Zr1 Zr 0.000 0.000 0.000 1
Be1 Be 0.500 0.500 0.298 1
W1 W 0.000 0.000 0.500 1
```

Values from the calculation:
E above lowest polymorph: 56 meV/atom
calculated density: 8.73 g/cm3
formation energy from the elements: 0.004 eV/atom
calculated volume: 56 Å³/cell
magnetization: 0.0000 μB per atom

[4]
Below is a relaxed ZrBe10W crystal, with properties calculated at the GGA-PBE level.

```
data_ZrBe10W
_chemical_formula_sum 'Zr1 Be10 W1'
_space_group_name_H-M_alt 'P m m m'
_space_group_IT_number 47
_cell_length_a 3.391
_cell_length_b 4.427
_cell_length_c 7.728
_cell_angle_alpha 90.00
_cell_angle_beta 90.00
_cell_angle_gamma 90.00
loop_
_space_group_symop_operation_xyz
'x,y,z'
'-x,-y,-z'
'-x,-y,z'
'x,y,-z'
'x,-y,-z'
'-x,y,z'
'-x,y,-z'
'x,-y,z'
loop_
_atom_site_label
_atom_site_type_symbol
_atom_site_fract_x
_atom_site_fract_y
_atom_site_fract_z
_atom_site_occupancy
Zr1 Zr 0.000 0.000 0.000 1
Be1 Be 0.000 0.000 0.346 1
Be2 Be 0.000 0.500 0.180 1
Be3 Be 0.500 0.000 0.500 1
Be4 Be 0.500 0.256 0.263 1
Be5 Be 0.500 0.500 0.000 1
W1 W 0.000 0.500 0.500 1
```

Values from the calculation:
calculated density: 5.23 g/cm3
formation energy from the elements: -0.172 eV/atom
calculated volume: 116 Å³/cell
magnetization: 0.0000 μB per atom

[5]
Below is a relaxed ZrBe4W crystal, with properties calculated at the GGA-PBE level.

```
data_ZrBe4W
_chemical_formula_sum 'Zr4 Be16 W4'
_space_group_name_H-M_alt 'F -4 3 m'
_space_group_IT_number 216
_space_group_name_Hall 'F -4 2 3'
_cell_length_a 6.571
_cell_length_b 6.571
_cell_length_c 6.571
_cell_angle_alpha 90.00
_cell_angle_beta 90.00
_cell_angle_gamma 90.00
loop_
_atom_site_label
_atom_site_type_symbol
_atom_site_fract_x
_atom_site_fract_y
_atom_site_fract_z
_atom_site_occupancy
Zr1 Zr 0.000 0.000 0.000 1
Be1 Be 0.123 0.123 0.623 1
W1 W 0.250 0.250 0.250 1
```

Values from the calculation:
calculated density: 7.28 g/cm3
formation energy from the elements: -0.120 eV/atom
calculated volume: 284 Å³/cell
magnetization: 0.0000 μB per atom

[6]
Below is a relaxed ZrBe2W crystal, with properties calculated at the GGA-PBE level.

```
data_ZrBe2W
_chemical_formula_sum 'Zr1 Be2 W1'
_space_group_name_H-M_alt 'P m m m'
_space_group_IT_number 47
_cell_length_a 3.500
_cell_length_b 3.978
_cell_length_c 4.014
_cell_angle_alpha 90.00
_cell_angle_beta 90.00
_cell_angle_gamma 90.00
loop_
_space_group_symop_operation_xyz
'x,y,z'
'-x,-y,-z'
'-x,-y,z'
'x,y,-z'
'x,-y,-z'
'-x,y,z'
'-x,y,-z'
'x,-y,z'
loop_
_atom_site_label
_atom_site_type_symbol
_atom_site_fract_x
_atom_site_fract_y
_atom_site_fract_z
_atom_site_occupancy
Zr1 Zr 0.000 0.000 0.000 1
Be1 Be 0.500 0.000 0.500 1
Be2 Be 0.500 0.500 0.000 1
W1 W 0.000 0.500 0.500 1
```

Values from the calculation:
E above lowest polymorph: 205 meV/atom
calculated density: 8.71 g/cm3
formation energy from the elements: 0.153 eV/atom
calculated volume: 56 Å³/cell
magnetization: 0.0000 μB per atom